<w>
The following is a PBE-GGA calculation of a relaxed structure of Mg4Ga3, from Alexandria.

Geometry as CIF:
```
data_Mg4Ga3
_chemical_formula_sum 'Mg8 Ga6'
_symmetry_space_group_name_H-M 'C 1 2/m 1'
_symmetry_Int_Tables_number 12
_cell_length_a 13.0118
_cell_length_b 4.3412
_cell_length_c 5.6899
_cell_angle_alpha 90.00
_cell_angle_beta 111.09
_cell_angle_gamma 90.00
loop_
_symmetry_equiv_pos_as_xyz
'x,y,z'
'-x,-y,-z'
'-x,y,-z'
'x,-y,z'
'x+1/2,y+1/2,z'
'-x+1/2,-y+1/2,-z'
'-x+1/2,y+1/2,-z'
'x+1/2,-y+1/2,z'
loop_
_atom_site_label
_atom_site_type_symbol
_atom_site_fract_x
_atom_site_fract_y
_atom_site_fract_z
Mg1 Mg 0.0569 0.0000 0.3078
Mg2 Mg 0.1576 0.5000 0.7812
Ga1 Ga 0.0000 0.5000 0.0000
Ga2 Ga 0.2212 0.5000 0.3324
```

The value obtained for the total magnetization is 0.0 μB per cell. Its density of states at the Fermi level is 0.4022 states/eV per atom. The volume is 299.9 Å³/cell.


<x>
The following is a PBE-GGA calculation of a relaxed structure of Mg4Ga3, from Alexandria.

Geometry as CIF:
```
data_Mg4Ga3
_chemical_formula_sum 'Mg12 Ga9'
_symmetry_space_group_name_H-M 'P -3'
_symmetry_Int_Tables_number 147
_cell_length_a 12.1531
_cell_length_b 12.1531
_cell_length_c 3.2545
_cell_angle_alpha 90.00
_cell_angle_beta 90.00
_cell_angle_gamma 120.00
loop_
_symmetry_equiv_pos_as_xyz
'x,y,z'
'-x,-y,-z'
'-y,x-y,z'
'y,-x+y,-z'
'-x+y,-x,z'
'x-y,x,-z'
loop_
_atom_site_label
_atom_site_type_symbol
_atom_site_fract_x
_atom_site_fract_y
_atom_site_fract_z
Mg1 Mg 0.0225 0.2333 0.2468
Mg2 Mg 0.1156 0.4956 0.7454
Ga1 Ga 0.0000 0.0000 0.5000
Ga2 Ga 0.1424 0.7159 0.2444
Ga3 Ga 0.3333 0.6667 0.2376
```

The value obtained for the total magnetization is 0.0 μB per cell. Its density of states at the Fermi level is 0.3911 states/eV per atom. The volume is 416.3 Å³/cell.


Relative energies in meV per atom: <w> 57; <x> 0


<w>
The following is a PBE-GGA calculation of a relaxed structure of Mg2Ga13, from Alexandria.

Geometry as CIF:
```
data_Mg2Ga13
_chemical_formula_sum 'Mg6 Ga39'
_symmetry_space_group_name_H-M 'R -3 m'
_symmetry_Int_Tables_number 166
_symmetry_space_group_name_Hall '-R 3 2"'
_cell_length_a 7.4491
_cell_length_b 7.4491
_cell_length_c 21.3822
_cell_angle_alpha 90.00
_cell_angle_beta 90.00
_cell_angle_gamma 120.00
loop_
_atom_site_label
_atom_site_type_symbol
_atom_site_fract_x
_atom_site_fract_y
_atom_site_fract_z
Mg1 Mg 0.0000 0.0000 0.2440
Ga1 Ga 0.0000 0.0000 0.0000
Ga2 Ga 0.0789 0.5395 0.3018
Ga3 Ga 0.0870 0.5435 0.5568
```

The value obtained for the total magnetization is 0.0 μB per cell. Its density of states at the Fermi level is 0.2417 states/eV per atom. The volume is 1027.5 Å³/cell.


<x>
The following is a PBE-GGA calculation of a relaxed structure of Mg2Ga13, from Alexandria.

Geometry as CIF:
```
data_Mg2Ga13
_chemical_formula_sum 'Mg6 Ga39'
_symmetry_space_group_name_H-M 'R -3 m'
_symmetry_Int_Tables_number 166
_symmetry_space_group_name_Hall '-R 3 2"'
_cell_length_a 7.6701
_cell_length_b 7.6701
_cell_length_c 18.2015
_cell_angle_alpha 90.00
_cell_angle_beta 90.00
_cell_angle_gamma 120.00
loop_
_atom_site_label
_atom_site_type_symbol
_atom_site_fract_x
_atom_site_fract_y
_atom_site_fract_z
Mg1 Mg 0.0000 0.0000 0.2389
Ga1 Ga 0.0000 0.0000 0.5000
Ga2 Ga 0.0842 0.5421 0.2977
Ga3 Ga 0.0925 0.5462 0.5633
```

The value obtained for the total magnetization is 0.0 μB per cell. Its density of states at the Fermi level is 0.3622 states/eV per atom. The volume is 927.3 Å³/cell.


Relative energies in meV per atom: <w> 61; <x> 0


<w>
The following is a PBE-GGA calculation of a relaxed structure of Mg4Ga, from Alexandria.

Geometry as CIF:
```
data_Mg4Ga
_chemical_formula_sum 'Mg16 Ga4'
_symmetry_space_group_name_H-M 'I m m a'
_symmetry_Int_Tables_number 74
_symmetry_space_group_name_Hall '-I 2b 2'
_cell_length_a 4.7830
_cell_length_b 5.9511
_cell_length_c 15.0231
_cell_angle_alpha 90.00
_cell_angle_beta 90.00
_cell_angle_gamma 90.00
loop_
_atom_site_label
_atom_site_type_symbol
_atom_site_fract_x
_atom_site_fract_y
_atom_site_fract_z
Mg1 Mg 0.0000 0.0000 0.0000
Mg2 Mg 0.0000 0.0018 0.1961
Mg3 Mg 0.0000 0.2500 0.5981
Ga1 Ga 0.0000 0.2500 0.3873
```

The value obtained for the total magnetization is 0.0 μB per cell. Its density of states at the Fermi level is 0.4747 states/eV per atom. The volume is 427.6 Å³/cell.


<x>
The following is a PBE-GGA calculation of a relaxed structure of Mg4Ga, from Alexandria.

Geometry as CIF:
```
data_Mg4Ga
_chemical_formula_sum 'Mg4 Ga1'
_symmetry_space_group_name_H-M 'P m -3 m'
_symmetry_Int_Tables_number 221
_symmetry_space_group_name_Hall '-P 4 2 3'
_cell_length_a 5.1066
_cell_length_b 5.1066
_cell_length_c 5.1066
_cell_angle_alpha 90.00
_cell_angle_beta 90.00
_cell_angle_gamma 90.00
loop_
_atom_site_label
_atom_site_type_symbol
_atom_site_fract_x
_atom_site_fract_y
_atom_site_fract_z
Mg1 Mg 0.0000 0.0000 0.0000
Mg2 Mg 0.0000 0.5000 0.5000
Ga1 Ga 0.5000 0.5000 0.5000
```

The value obtained for the total magnetization is 0.0 μB per cell. Its density of states at the Fermi level is 0.4828 states/eV per atom. The volume is 133.2 Å³/cell.


Relative energies in meV per atom: <w> 0; <x> 191


<w>
The following is a PBE-GGA calculation of a relaxed structure of MgGaMo3, from Alexandria.

Geometry as CIF:
```
data_MgGaMo3
_chemical_formula_sum 'Mg1 Ga1 Mo3'
_symmetry_space_group_name_H-M 'P m -3 m'
_symmetry_Int_Tables_number 221
_symmetry_space_group_name_Hall '-P 4 2 3'
_cell_length_a 4.5824
_cell_length_b 4.5824
_cell_length_c 4.5824
_cell_angle_alpha 90.00
_cell_angle_beta 90.00
_cell_angle_gamma 90.00
loop_
_atom_site_label
_atom_site_type_symbol
_atom_site_fract_x
_atom_site_fract_y
_atom_site_fract_z
Mg1 Mg 0.0000 0.0000 0.0000
Ga1 Ga 0.5000 0.5000 0.5000
Mo1 Mo 0.0000 0.0000 0.5000
```

The value obtained for the total magnetization is 2.6 μB per cell. Its density of states at the Fermi level is 0.8477 states/eV per atom. The volume is 96.2 Å³/cell.


<x>
The following is a PBE-GGA calculation of a relaxed structure of MgGaMo3, from Alexandria.

Geometry as CIF:
```
data_MgGaMo3
_chemical_formula_sum 'Mg1 Ga1 Mo3'
_symmetry_space_group_name_H-M 'P m -3 m'
_symmetry_Int_Tables_number 221
_symmetry_space_group_name_Hall '-P 4 2 3'
_cell_length_a 4.6454
_cell_length_b 4.6454
_cell_length_c 4.6454
_cell_angle_alpha 90.00
_cell_angle_beta 90.00
_cell_angle_gamma 90.00
loop_
_atom_site_label
_atom_site_type_symbol
_atom_site_fract_x
_atom_site_fract_y
_atom_site_fract_z
Mg1 Mg 0.0000 0.0000 0.0000
Ga1 Ga 0.5000 0.5000 0.5000
Mo1 Mo 0.0000 0.5000 0.5000
```

The value obtained for the total magnetization is 0.0 μB per cell. Its density of states at the Fermi level is 1.3174 states/eV per atom. The volume is 100.2 Å³/cell.


Relative energies in meV per atom: <w> 641; <x> 0


<w>
The following is a PBE-GGA calculation of a relaxed structure of MgGa2Mo2, from Alexandria.

Geometry as CIF:
```
data_MgGa2Mo2
_chemical_formula_sum 'Mg2 Ga4 Mo4'
_symmetry_space_group_name_H-M 'P 4/m b m'
_symmetry_Int_Tables_number 127
_symmetry_space_group_name_Hall '-P 4 2ab'
_cell_length_a 7.3649
_cell_length_b 7.3649
_cell_length_c 3.2027
_cell_angle_alpha 90.00
_cell_angle_beta 90.00
_cell_angle_gamma 90.00
loop_
_atom_site_label
_atom_site_type_symbol
_atom_site_fract_x
_atom_site_fract_y
_atom_site_fract_z
Mg1 Mg 0.0000 0.0000 0.0000
Ga1 Ga 0.1777 0.3223 0.5000
Mo1 Mo 0.1149 0.6149 0.0000
```

The value obtained for the total magnetization is 0.0 μB per cell. Its density of states at the Fermi level is 0.2645 states/eV per atom. The volume is 173.7 Å³/cell.


<x>
The following is a PBE-GGA calculation of a relaxed structure of MgGa2Mo2, from Alexandria.

Geometry as CIF:
```
data_MgGa2Mo2
_chemical_formula_sum 'Mg2 Ga4 Mo4'
_symmetry_space_group_name_H-M 'P 4/m b m'
_symmetry_Int_Tables_number 127
_symmetry_space_group_name_Hall '-P 4 2ab'
_cell_length_a 6.8424
_cell_length_b 6.8424
_cell_length_c 3.4425
_cell_angle_alpha 90.00
_cell_angle_beta 90.00
_cell_angle_gamma 90.00
loop_
_atom_site_label
_atom_site_type_symbol
_atom_site_fract_x
_atom_site_fract_y
_atom_site_fract_z
Mg1 Mg 0.0000 0.0000 0.0000
Ga1 Ga 0.1318 0.3682 0.0000
Mo1 Mo 0.1647 0.6647 0.5000
```

The value obtained for the total magnetization is 0.0 μB per cell. Its density of states at the Fermi level is 1.1612 states/eV per atom. The volume is 161.2 Å³/cell.


<y>
The following is a PBE-GGA calculation of a relaxed structure of MgGa2Mo2, from Alexandria.

Geometry as CIF:
```
data_MgGa2Mo2
_chemical_formula_sum 'Mg2 Ga4 Mo4'
_symmetry_space_group_name_H-M 'I 4/m m m'
_symmetry_Int_Tables_number 139
_symmetry_space_group_name_Hall '-I 4 2'
_cell_length_a 3.8036
_cell_length_b 3.8036
_cell_length_c 12.3322
_cell_angle_alpha 90.00
_cell_angle_beta 90.00
_cell_angle_gamma 90.00
loop_
_atom_site_label
_atom_site_type_symbol
_atom_site_fract_x
_atom_site_fract_y
_atom_site_fract_z
Mg1 Mg 0.0000 0.0000 0.0000
Ga1 Ga 0.0000 0.5000 0.2500
Mo1 Mo 0.0000 0.0000 0.4040
```

The value obtained for the total magnetization is 0.0 μB per cell. Its density of states at the Fermi level is 0.7463 states/eV per atom. The volume is 178.4 Å³/cell.


Relative energies in meV per atom: <w> 59; <x> 0; <y> 323


<w>
The following is a PBE-GGA calculation of a relaxed structure of Mg3GaMo, from Alexandria.

Geometry as CIF:
```
data_Mg3GaMo
_chemical_formula_sum 'Mg3 Ga1 Mo1'
_symmetry_space_group_name_H-M 'P m -3 m'
_symmetry_Int_Tables_number 221
_symmetry_space_group_name_Hall '-P 4 2 3'
_cell_length_a 4.9894
_cell_length_b 4.9894
_cell_length_c 4.9894
_cell_angle_alpha 90.00
_cell_angle_beta 90.00
_cell_angle_gamma 90.00
loop_
_atom_site_label
_atom_site_type_symbol
_atom_site_fract_x
_atom_site_fract_y
_atom_site_fract_z
Mg1 Mg 0.0000 0.0000 0.5000
Ga1 Ga 0.0000 0.0000 0.0000
Mo1 Mo 0.5000 0.5000 0.5000
```

The value obtained for the total magnetization is 4.5 μB per cell. Its density of states at the Fermi level is 0.5038 states/eV per atom. The volume is 124.2 Å³/cell.


<x>
The following is a PBE-GGA calculation of a relaxed structure of Mg3GaMo, from Alexandria.

Geometry as CIF:
```
data_Mg3GaMo
_chemical_formula_sum 'Mg3 Ga1 Mo1'
_symmetry_space_group_name_H-M 'P m -3 m'
_symmetry_Int_Tables_number 221
_symmetry_space_group_name_Hall '-P 4 2 3'
_cell_length_a 5.2533
_cell_length_b 5.2533
_cell_length_c 5.2533
_cell_angle_alpha 90.00
_cell_angle_beta 90.00
_cell_angle_gamma 90.00
loop_
_atom_site_label
_atom_site_type_symbol
_atom_site_fract_x
_atom_site_fract_y
_atom_site_fract_z
Mg1 Mg 0.0000 0.0000 0.5000
Ga1 Ga 0.5000 0.5000 0.5000
Mo1 Mo 0.0000 0.0000 0.0000
```

The value obtained for the total magnetization is 2.4 μB per cell. Its density of states at the Fermi level is 0.9271 states/eV per atom. The volume is 145.0 Å³/cell.


Relative energies in meV per atom: <w> 0; <x> 149


<w>
The following is a PBE-GGA calculation of a relaxed structure of Mg2GaN, from Alexandria.

Geometry as CIF:
```
data_Mg2GaN
_chemical_formula_sum 'Mg8 Ga4 N4'
_symmetry_space_group_name_H-M 'F m -3 m'
_symmetry_Int_Tables_number 225
_symmetry_space_group_name_Hall '-F 4 2 3'
_cell_length_a 6.2943
_cell_length_b 6.2943
_cell_length_c 6.2943
_cell_angle_alpha 90.00
_cell_angle_beta 90.00
_cell_angle_gamma 90.00
loop_
_atom_site_label
_atom_site_type_symbol
_atom_site_fract_x
_atom_site_fract_y
_atom_site_fract_z
Mg1 Mg 0.2500 0.2500 0.2500
Ga1 Ga 0.0000 0.0000 0.0000
N1 N 0.0000 0.0000 0.5000
```

The value obtained for the total magnetization is 0.0 μB per cell. Its density of states at the Fermi level is 0.3888 states/eV per atom. The volume is 249.4 Å³/cell.


<x>
The following is a PBE-GGA calculation of a relaxed structure of Mg2GaN, from Alexandria.

Geometry as CIF:
```
data_Mg2GaN
_chemical_formula_sum 'Mg8 Ga4 N4'
_symmetry_space_group_name_H-M 'I -4 2 d'
_symmetry_Int_Tables_number 122
_symmetry_space_group_name_Hall 'I -4 2bw'
_cell_length_a 6.1371
_cell_length_b 6.1371
_cell_length_c 8.1545
_cell_angle_alpha 90.00
_cell_angle_beta 90.00
_cell_angle_gamma 90.00
loop_
_atom_site_label
_atom_site_type_symbol
_atom_site_fract_x
_atom_site_fract_y
_atom_site_fract_z
Mg1 Mg 0.1188 0.2500 0.1250
Ga1 Ga 0.0000 0.0000 0.5000
N1 N 0.0000 0.0000 0.0000
```

The value obtained for the total magnetization is 0.0 μB per cell. Its density of states at the Fermi level is 0.1080 states/eV per atom. The volume is 307.1 Å³/cell.


Relative energies in meV per atom: <w> 656; <x> 0


<w>
The following is a PBE-GGA calculation of a relaxed structure of Mg3GaN, from Alexandria.

Geometry as CIF:
```
data_Mg3GaN
_chemical_formula_sum 'Mg3 Ga1 N1'
_symmetry_space_group_name_H-M 'P m -3 m'
_symmetry_Int_Tables_number 221
_symmetry_space_group_name_Hall '-P 4 2 3'
_cell_length_a 4.3029
_cell_length_b 4.3029
_cell_length_c 4.3029
_cell_angle_alpha 90.00
_cell_angle_beta 90.00
_cell_angle_gamma 90.00
loop_
_atom_site_label
_atom_site_type_symbol
_atom_site_fract_x
_atom_site_fract_y
_atom_site_fract_z
Mg1 Mg 0.0000 0.0000 0.5000
Ga1 Ga 0.5000 0.5000 0.5000
N1 N 0.0000 0.0000 0.0000
```

The value obtained for the total magnetization is 0.0 μB per cell. Its density of states at the Fermi level is 0.3133 states/eV per atom. The volume is 79.7 Å³/cell.


<x>
The following is a PBE-GGA calculation of a relaxed structure of Mg3GaN, from Alexandria.

Geometry as CIF:
```
data_Mg3GaN
_chemical_formula_sum 'Mg3 Ga1 N1'
_symmetry_space_group_name_H-M 'P m -3 m'
_symmetry_Int_Tables_number 221
_symmetry_space_group_name_Hall '-P 4 2 3'
_cell_length_a 5.0001
_cell_length_b 5.0001
_cell_length_c 5.0001
_cell_angle_alpha 90.00
_cell_angle_beta 90.00
_cell_angle_gamma 90.00
loop_
_atom_site_label
_atom_site_type_symbol
_atom_site_fract_x
_atom_site_fract_y
_atom_site_fract_z
Mg1 Mg 0.0000 0.0000 0.5000
Ga1 Ga 0.0000 0.0000 0.0000
N1 N 0.5000 0.5000 0.5000
```

The value obtained for the total magnetization is 2.0 μB per cell. Its density of states at the Fermi level is 0.4280 states/eV per atom. The volume is 125.0 Å³/cell.


Relative energies in meV per atom: <w> 0; <x> 1358